Record 1
! LiCa2Tc (PBE, relaxed); values from VASP
&SYSTEM
  ibrav = 0, nat = 16, ntyp = 3
/
ATOMIC_SPECIES
Li 6.94 Li.upf
Ca 40.08 Ca.upf
Tc 98.00 Tc.upf
ATOMIC_POSITIONS angstrom
Li 0.0000 0.0000 0.0000
Li 0.0000 2.2008 4.8712
Li 2.2008 0.0000 14.6137
Li 2.2008 2.2008 9.7425
Ca 1.0516 1.1004 12.1781
Ca 1.1004 3.2524 17.0494
Ca 1.1004 3.3501 7.3069
Ca 1.1493 1.1004 2.4356
Ca 3.2524 3.3013 2.4356
Ca 3.3013 1.0516 7.3069
Ca 3.3013 1.1493 17.0494
Ca 3.3501 3.3013 12.1781
Tc 0.0000 0.0000 9.7425
Tc 0.0000 2.2008 14.6137
Tc 2.2008 0.0000 4.8712
Tc 2.2008 2.2008 0.0000
CELL_PARAMETERS angstrom
4.4017 0.0000 0.0000
0.0000 4.4017 0.0000
0.0000 0.0000 19.4850
! uncorrected energy	-3.148	eV per atom
! SG	No. 122
! DOS(E_F)	0.60	states/eV/atom
! V	23.60	A^3/atom


Record 2
! Li2CaTc (PBE, relaxed); values from VASP
&SYSTEM
  ibrav = 0, nat = 4, ntyp = 3
/
ATOMIC_SPECIES
Li 6.94 Li.upf
Ca 40.08 Ca.upf
Tc 98.00 Tc.upf
ATOMIC_POSITIONS angstrom
Li 0.0000 0.0000 0.0000
Li -0.6726 2.2965 4.5995
Ca 0.4714 0.0000 2.7077
Tc 1.7473 2.2965 1.1874
CELL_PARAMETERS angstrom
2.7475 0.0000 0.0000
0.0000 4.5929 0.0000
-1.2642 0.0000 5.9290
! uncorrected energy	-3.575	eV per atom
! ΔE to the lowest computed polymorph	0.045	eV/atom
! SG	No. 6
! DOS(E_F)	0.79	states/eV/atom
! V	18.70	A^3/atom


Record 3
! Li2CaTc (PBE, relaxed); values from VASP
&SYSTEM
  ibrav = 0, nat = 8, ntyp = 3
/
ATOMIC_SPECIES
Li 6.94 Li.upf
Ca 40.08 Ca.upf
Tc 98.00 Tc.upf
ATOMIC_POSITIONS angstrom
Li 2.2823 0.0000 1.0393
Li 2.1644 1.3718 4.3343
Li 7.3890 1.3718 1.0393
Li 7.2711 0.0000 4.3343
Ca -0.3300 0.0000 2.6868
Ca 4.7767 1.3718 2.6868
Tc 0.0000 1.3718 0.0000
Tc 5.1067 0.0000 0.0000
CELL_PARAMETERS angstrom
10.2134 0.0000 0.0000
0.0000 2.7437 0.0000
-0.6600 0.0000 5.3736
! uncorrected energy	-3.620	eV per atom
! ΔE to the lowest computed polymorph	0.000	eV/atom
! SG	No. 12
! DOS(E_F)	0.65	states/eV/atom
! V	18.82	A^3/atom


Record 4
! LiCa2Tc (PBE, relaxed); values from VASP
&SYSTEM
  ibrav = 0, nat = 8, ntyp = 3
/
ATOMIC_SPECIES
Li 6.94 Li.upf
Ca 40.08 Ca.upf
Tc 98.00 Tc.upf
ATOMIC_POSITIONS angstrom
Li 0.0000 0.0000 0.0000
Li 3.8267 3.8453 0.0000
Ca 1.9134 1.9227 1.5859
Ca 1.9134 5.7680 1.5859
Ca 5.7401 1.9227 1.5859
Ca 5.7401 5.7680 1.5859
Tc 0.0000 3.8453 0.0000
Tc 3.8267 0.0000 0.0000
CELL_PARAMETERS angstrom
7.6535 0.0000 0.0000
0.0000 7.6906 0.0000
0.0000 0.0000 3.1718
! uncorrected energy	-3.568	eV per atom
! SG	No. 65
! DOS(E_F)	0.95	states/eV/atom
! V	23.34	A^3/atom


Record 5
! Li2CaTc (PBE, relaxed); values from VASP
&SYSTEM
  ibrav = 0, nat = 16, ntyp = 3
/
ATOMIC_SPECIES
Li 6.94 Li.upf
Ca 40.08 Ca.upf
Tc 98.00 Tc.upf
ATOMIC_POSITIONS angstrom
Li 0.0000 0.0000 0.0000
Li 0.0000 3.4454 3.4454
Li 1.7227 1.7227 1.7227
Li 1.7227 5.1681 5.1681
Li 3.4454 0.0000 3.4454
Li 3.4454 3.4454 0.0000
Li 5.1681 1.7227 5.1681
Li 5.1681 5.1681 1.7227
Ca 0.0000 0.0000 3.4454
Ca 0.0000 3.4454 0.0000
Ca 3.4454 0.0000 0.0000
Ca 3.4454 3.4454 3.4454
Tc 1.7227 1.7227 5.1681
Tc 1.7227 5.1681 1.7227
Tc 5.1681 1.7227 1.7227
Tc 5.1681 5.1681 5.1681
CELL_PARAMETERS angstrom
6.8908 0.0000 0.0000
0.0000 6.8908 0.0000
0.0000 0.0000 6.8908
! uncorrected energy	-3.419	eV per atom
! ΔE to the lowest computed polymorph	0.201	eV/atom
! SG	No. 216
! DOS(E_F)	0.87	states/eV/atom
! V	20.45	A^3/atom


Record 6
! LiCa2Tc (PBE, relaxed); values from VASP
&SYSTEM
  ibrav = 0, nat = 12, ntyp = 3
/
ATOMIC_SPECIES
Li 6.94 Li.upf
Ca 40.08 Ca.upf
Tc 98.00 Tc.upf
ATOMIC_POSITIONS angstrom
Li 0.0000 0.0000 0.0000
Li 0.0000 1.9431 20.7961
Li 1.6828 0.9716 10.3980
Ca 0.0000 0.0000 7.4250
Ca 0.0000 0.0000 23.7691
Ca 0.0000 1.9431 13.3711
Ca 0.0000 1.9431 28.2211
Ca 1.6828 0.9716 2.9730
Ca 1.6828 0.9716 17.8231
Tc 0.0000 0.0000 15.5971
Tc 0.0000 1.9431 5.1990
Tc 1.6828 0.9716 25.9951
CELL_PARAMETERS angstrom
3.3656 0.0000 0.0000
-1.6828 2.9147 0.0000
0.0000 0.0000 31.1941
! uncorrected energy	-3.535	eV per atom
! SG	No. 166
! DOS(E_F)	0.85	states/eV/atom
! V	25.50	A^3/atom


Record 7
! LiCa2Tc (PBE, relaxed); values from VASP
&SYSTEM
  ibrav = 0, nat = 8, ntyp = 3
/
ATOMIC_SPECIES
Li 6.94 Li.upf
Ca 40.08 Ca.upf
Tc 98.00 Tc.upf
ATOMIC_POSITIONS angstrom
Li 0.0000 0.0000 0.0000
Li 4.6997 1.4987 0.0000
Ca 1.8467 0.0000 4.9506
Ca 2.2876 1.4987 1.8862
Ca 6.5465 1.4987 4.9506
Ca 6.9873 0.0000 1.8862
Tc -0.2827 1.4987 3.4184
Tc 4.4170 0.0000 3.4184
CELL_PARAMETERS angstrom
9.3995 0.0000 0.0000
0.0000 2.9974 0.0000
-0.5654 0.0000 6.8368
! uncorrected energy	-3.479	eV per atom
! SG	No. 12
! DOS(E_F)	0.92	states/eV/atom
! V	24.08	A^3/atom


Record 8
! LiCaTc3 (PBE, relaxed); values from VASP
&SYSTEM
  ibrav = 0, nat = 5, ntyp = 3
/
ATOMIC_SPECIES
Li 6.94 Li.upf
Ca 40.08 Ca.upf
Tc 98.00 Tc.upf
ATOMIC_POSITIONS angstrom
Li 0.0000 0.0000 0.0000
Ca 2.3469 2.3469 2.3469
Tc 0.0000 2.3469 2.3469
Tc 2.3469 0.0000 2.3469
Tc 2.3469 2.3469 0.0000
CELL_PARAMETERS angstrom
4.6938 0.0000 0.0000
0.0000 4.6938 0.0000
0.0000 0.0000 4.6938
! uncorrected energy	-4.505	eV per atom
! ΔE to the lowest computed polymorph	1.223	eV/atom
! SG	No. 221
! DOS(E_F)	1.37	states/eV/atom
! V	20.68	A^3/atom


Record 9
! LiCa2Tc (PBE, relaxed); values from VASP
&SYSTEM
  ibrav = 0, nat = 16, ntyp = 3
/
ATOMIC_SPECIES
Li 6.94 Li.upf
Ca 40.08 Ca.upf
Tc 98.00 Tc.upf
ATOMIC_POSITIONS angstrom
Li 0.0000 0.0000 0.0000
Li 0.0000 3.6255 3.6255
Li 3.6255 0.0000 3.6255
Li 3.6255 3.6255 0.0000
Ca 0.0000 0.0000 3.6255
Ca 0.0000 3.6255 0.0000
Ca 1.8128 1.8128 5.4383
Ca 1.8128 5.4383 1.8128
Ca 3.6255 0.0000 0.0000
Ca 3.6255 3.6255 3.6255
Ca 5.4383 1.8128 1.8128
Ca 5.4383 5.4383 5.4383
Tc 1.8128 1.8128 1.8128
Tc 1.8128 5.4383 5.4383
Tc 5.4383 1.8128 5.4383
Tc 5.4383 5.4383 1.8128
CELL_PARAMETERS angstrom
7.2510 0.0000 0.0000
0.0000 7.2510 0.0000
0.0000 0.0000 7.2510
! uncorrected energy	-3.438	eV per atom
! SG	No. 216
! DOS(E_F)	0.98	states/eV/atom
! V	23.83	A^3/atom


Record 10
! Li2CaTc (PBE, relaxed); values from VASP
&SYSTEM
  ibrav = 0, nat = 8, ntyp = 3
/
ATOMIC_SPECIES
Li 6.94 Li.upf
Ca 40.08 Ca.upf
Tc 98.00 Tc.upf
ATOMIC_POSITIONS angstrom
Li 0.0000 0.0000 0.0000
Li 2.1708 1.3756 1.2804
Li 4.8941 1.3756 0.0000
Li 7.0648 0.0000 1.2804
Ca 1.6483 0.0000 3.8295
Ca 6.5424 1.3756 3.8295
Tc 4.2960 0.0000 2.4796
Tc 9.1901 1.3756 2.4796
CELL_PARAMETERS angstrom
9.7881 0.0000 0.0000
0.0000 2.7513 0.0000
-0.9278 0.0000 5.5037
! uncorrected energy	-3.556	eV per atom
! ΔE to the lowest computed polymorph	0.064	eV/atom
! SG	No. 8
! DOS(E_F)	0.47	states/eV/atom
! V	18.53	A^3/atom


Record 11
! Li2CaTc (PBE, relaxed); values from VASP
&SYSTEM
  ibrav = 0, nat = 4, ntyp = 3
/
ATOMIC_SPECIES
Li 6.94 Li.upf
Ca 40.08 Ca.upf
Tc 98.00 Tc.upf
ATOMIC_POSITIONS angstrom
Li 0.0000 0.0000 2.1094
Li 0.0000 0.0000 7.9854
Ca 1.3654 1.3654 5.0474
Tc 1.3654 1.3654 0.0000
CELL_PARAMETERS angstrom
2.7307 0.0000 0.0000
0.0000 2.7307 0.0000
0.0000 0.0000 10.0949
! uncorrected energy	-3.476	eV per atom
! ΔE to the lowest computed polymorph	0.144	eV/atom
! SG	No. 123
! DOS(E_F)	0.73	states/eV/atom
! V	18.82	A^3/atom


Record 12
! Li2CaTc (PBE, relaxed); values from VASP
&SYSTEM
  ibrav = 0, nat = 16, ntyp = 3
/
ATOMIC_SPECIES
Li 6.94 Li.upf
Ca 40.08 Ca.upf
Tc 98.00 Tc.upf
ATOMIC_POSITIONS angstrom
Li 1.6905 1.6905 1.6905
Li 1.6905 1.6905 5.0715
Li 1.6905 5.0715 1.6905
Li 1.6905 5.0715 5.0715
Li 5.0715 1.6905 1.6905
Li 5.0715 1.6905 5.0715
Li 5.0715 5.0715 1.6905
Li 5.0715 5.0715 5.0715
Ca 0.0000 0.0000 0.0000
Ca 0.0000 3.3810 3.3810
Ca 3.3810 0.0000 3.3810
Ca 3.3810 3.3810 0.0000
Tc 0.0000 0.0000 3.3810
Tc 0.0000 3.3810 0.0000
Tc 3.3810 0.0000 0.0000
Tc 3.3810 3.3810 3.3810
CELL_PARAMETERS angstrom
6.7620 0.0000 0.0000
0.0000 6.7620 0.0000
0.0000 0.0000 6.7620
! uncorrected energy	-3.465	eV per atom
! ΔE to the lowest computed polymorph	0.154	eV/atom
! SG	No. 225
! DOS(E_F)	1.14	states/eV/atom
! V	19.32	A^3/atom


Record 13
! Li4CaTc (PBE, relaxed); values from VASP
&SYSTEM
  ibrav = 0, nat = 6, ntyp = 3
/
ATOMIC_SPECIES
Li 6.94 Li.upf
Ca 40.08 Ca.upf
Tc 98.00 Tc.upf
ATOMIC_POSITIONS angstrom
Li 0.9216 0.9216 0.9216
Li 2.8708 2.8708 0.9216
Li 2.8708 0.9216 2.8708
Li 0.9216 2.8708 2.8708
Ca 3.7924 3.7924 3.7924
Tc 5.6887 5.6887 5.6887
CELL_PARAMETERS angstrom
0.0000 3.7924 3.7924
3.7924 0.0000 3.7924
3.7924 3.7924 0.0000
! uncorrected energy	-2.925	eV per atom
! SG	No. 216
! DOS(E_F)	0.90	states/eV/atom
! V	18.18	A^3/atom


Record 14
! Li2CaTc (PBE, relaxed); values from VASP
&SYSTEM
  ibrav = 0, nat = 4, ntyp = 3
/
ATOMIC_SPECIES
Li 6.94 Li.upf
Ca 40.08 Ca.upf
Tc 98.00 Tc.upf
ATOMIC_POSITIONS angstrom
Li 0.0000 0.0000 0.0000
Li 1.3783 2.2385 1.4334
Ca 1.3783 2.2385 4.2120
Tc 0.0000 0.0000 2.6738
CELL_PARAMETERS angstrom
2.7567 0.0000 0.0000
0.0000 4.4770 0.0000
0.0000 0.0000 6.1454
! uncorrected energy	-3.560	eV per atom
! ΔE to the lowest computed polymorph	0.059	eV/atom
! SG	No. 25
! DOS(E_F)	0.76	states/eV/atom
! V	18.96	A^3/atom


Record 15
! Li2CaTc (PBE, relaxed); values from VASP
&SYSTEM
  ibrav = 0, nat = 4, ntyp = 3
/
ATOMIC_SPECIES
Li 6.94 Li.upf
Ca 40.08 Ca.upf
Tc 98.00 Tc.upf
ATOMIC_POSITIONS angstrom
Li 0.0000 0.0000 1.1343
Li 0.0000 0.0000 4.6928
Ca 1.3770 2.3179 2.9136
Tc 1.3770 2.3179 0.0000
CELL_PARAMETERS angstrom
2.7541 0.0000 0.0000
0.0000 4.6359 0.0000
0.0000 0.0000 5.8271
! uncorrected energy	-3.530	eV per atom
! ΔE to the lowest computed polymorph	0.089	eV/atom
! SG	No. 47
! DOS(E_F)	1.18	states/eV/atom
! V	18.60	A^3/atom


Record 16
! LiCa2Tc (PBE, relaxed); values from VASP
&SYSTEM
  ibrav = 0, nat = 4, ntyp = 3
/
ATOMIC_SPECIES
Li 6.94 Li.upf
Ca 40.08 Ca.upf
Tc 98.00 Tc.upf
ATOMIC_POSITIONS angstrom
Li 0.0000 0.0000 0.0000
Ca 0.0000 0.0000 3.0331
Ca 1.7366 1.7366 6.2290
Tc 1.7366 1.7366 1.0943
CELL_PARAMETERS angstrom
3.4732 0.0000 0.0000
0.0000 3.4732 0.0000
0.0000 0.0000 8.2415
! uncorrected energy	-3.573	eV per atom
! SG	No. 99
! DOS(E_F)	0.64	states/eV/atom
! V	24.85	A^3/atom


Record 17
! LiCa2Tc (PBE, relaxed); values from VASP
&SYSTEM
  ibrav = 0, nat = 8, ntyp = 3
/
ATOMIC_SPECIES
Li 6.94 Li.upf
Ca 40.08 Ca.upf
Tc 98.00 Tc.upf
ATOMIC_POSITIONS angstrom
Li 0.0000 0.0000 0.0000
Li 2.2172 2.2172 4.7956
Ca 0.0000 0.0000 4.7956
Ca 0.0000 2.2172 2.3978
Ca 2.2172 0.0000 7.1934
Ca 2.2172 2.2172 0.0000
Tc 0.0000 2.2172 7.1934
Tc 2.2172 0.0000 2.3978
CELL_PARAMETERS angstrom
4.4344 0.0000 0.0000
0.0000 4.4344 0.0000
0.0000 0.0000 9.5911
! uncorrected energy	-3.466	eV per atom
! SG	No. 119
! DOS(E_F)	1.47	states/eV/atom
! V	23.57	A^3/atom


Record 18
! Li2CaTc (PBE, relaxed); values from VASP
&SYSTEM
  ibrav = 0, nat = 8, ntyp = 3
/
ATOMIC_SPECIES
Li 6.94 Li.upf
Ca 40.08 Ca.upf
Tc 98.00 Tc.upf
ATOMIC_POSITIONS angstrom
Li 0.0000 0.0000 0.0000
Li 0.0000 2.5771 2.6810
Li 1.4141 0.0000 7.5365
Li 1.4141 2.5771 4.8554
Ca 0.0000 2.5771 7.4666
Ca 1.4141 0.0000 2.6111
Tc 0.0000 0.0000 5.2582
Tc 1.4141 2.5771 0.4028
CELL_PARAMETERS angstrom
2.8283 0.0000 0.0000
0.0000 5.1542 0.0000
0.0000 0.0000 9.7108
! uncorrected energy	-3.539	eV per atom
! ΔE to the lowest computed polymorph	0.081	eV/atom
! SG	No. 44
! DOS(E_F)	0.51	states/eV/atom
! V	17.69	A^3/atom


Record 19
! LiCa4Tc (PBE, relaxed); values from VASP
&SYSTEM
  ibrav = 0, nat = 6, ntyp = 3
/
ATOMIC_SPECIES
Li 6.94 Li.upf
Ca 40.08 Ca.upf
Tc 98.00 Tc.upf
ATOMIC_POSITIONS angstrom
Li 0.0000 0.0000 0.0000
Ca 3.5222 3.5222 3.5222
Ca 5.8448 5.8448 3.5222
Ca 5.8448 3.5222 5.8448
Ca 3.5222 5.8448 5.8448
Tc 7.0252 7.0252 7.0252
CELL_PARAMETERS angstrom
0.0000 4.6835 4.6835
4.6835 0.0000 4.6835
4.6835 4.6835 0.0000
! uncorrected energy	-2.451	eV per atom
! SG	No. 216
! DOS(E_F)	1.58	states/eV/atom
! V	34.24	A^3/atom


Record 20
! LiCa2Tc (PBE, relaxed); values from VASP
&SYSTEM
  ibrav = 0, nat = 8, ntyp = 3
/
ATOMIC_SPECIES
Li 6.94 Li.upf
Ca 40.08 Ca.upf
Tc 98.00 Tc.upf
ATOMIC_POSITIONS angstrom
Li 0.0000 0.0000 0.0000
Li 5.6552 1.5331 0.0000
Ca 1.3302 0.0000 4.3523
Ca 4.1946 0.0000 2.3092
Ca 6.9854 1.5331 4.3523
Ca 9.8498 1.5331 2.3092
Tc 1.6112 1.5331 1.5903
Tc 7.2664 0.0000 1.5903
CELL_PARAMETERS angstrom
11.3104 0.0000 0.0000
0.0000 3.0662 0.0000
-1.4821 0.0000 5.3469
! uncorrected energy	-3.611	eV per atom
! SG	No. 8
! DOS(E_F)	0.96	states/eV/atom
! V	23.18	A^3/atom